# 1
VASP calculation (GGA-PBEsol) on a geometry-optimized CaMo2Cl structure.

Computed properties:
As for the symmetry: P4/mmm. The offset from the most stable computed form is 0.00 eV/f.u. As for the uncorrected formation energy: 859 meV per atom.

```
4
Lattice="2.807 0.000 0.000 0.000 2.807 0.000 0.000 0.000 8.885" Properties=species:S:1:pos:R:3 pbc="T T T"
Mo 0.000 0.000 6.313
Mo 0.000 0.000 2.571
Ca 1.403 1.403 0.000
Cl 1.403 1.403 4.442
```

=====

# 2
VASP calculation (GGA-PBEsol) on a geometry-optimized Mn3CrNi2P6O24 structure.

Computed properties:
As for the symmetry: R3. As for the uncorrected formation energy: -1845 meV per atom.

```
36
Lattice="8.274 -0.027 -0.019 4.021 7.231 -0.019 4.021 2.356 6.837" Properties=species:S:1:pos:R:3 pbc="T T T"
Mn 2.288 1.340 0.953
Mn 5.880 3.445 2.450
Mn 10.442 6.118 4.351
Cr 14.047 8.231 5.853
Ni 0.006 0.003 0.002
Ni 8.160 4.782 3.400
P 6.972 5.506 0.251
P 8.211 1.351 3.120
P 5.192 5.082 5.118
P 11.129 4.469 1.684
P 8.107 8.214 3.669
P 9.339 4.061 6.554
O 5.904 2.597 0.808
O 4.296 4.360 2.187
O 5.994 6.716 0.398
O 5.151 2.038 3.400
O 8.401 5.911 -0.002
O 7.017 4.776 1.644
O 8.788 1.015 1.708
O 7.596 2.797 3.037
O 10.511 3.154 1.230
O 6.153 4.596 3.971
O 11.188 5.554 0.573
O 7.055 8.096 2.575
O 9.263 1.456 4.194
O 5.181 3.967 6.213
O 10.156 4.964 2.803
O 5.798 6.381 5.584
O 8.696 6.769 3.768
O 7.532 8.604 5.058
O 9.295 4.760 5.156
O 7.890 3.667 6.801
O 11.192 7.494 3.334
O 10.314 2.855 6.466
O 12.008 5.152 4.667
O 10.364 7.021 5.984
```

=====

# 3
VASP calculation (GGA-PBEsol) on a geometry-optimized YTaCu2 structure.

Computed properties:
As for the symmetry: Pm. The value obtained for the energy of formation from the pure elements is 0.12 eV per atom. The offset from the most stable computed form is 0.00 eV/f.u.

```
4
Lattice="3.112 0.000 -0.035 0.000 4.121 0.000 -1.505 0.000 5.297" Properties=species:S:1:pos:R:3 pbc="T T T"
Cu 2.527 0.000 -0.027
Cu 2.545 2.060 1.415
Ta 0.994 0.000 2.194
Y -0.545 2.060 4.276
```